Record 1
Here is crystalline Tb6Br7 at its relaxed geometry from Alexandria via LeMat-Bulk. Energies are from PBE.

Unit cell a=10.8619 b=10.8619 c=11.7217 alpha=122.32 beta=122.32 gamma=20.28
Closest atoms and distances in Å follow each position.
Fractional coordinates of all 13 atoms:
1 Tb 0.1261 0.1261 0.0545  4 Br 2.81-3.08
2 Tb 0.2295 0.2295 0.6649  4 Br 2.87-2.95
3 Tb 0.3180 0.3180 0.1348  3 Br 3.01-3.03
4 Tb 0.6820 0.6820 0.8652  3 Br 3.01-3.03
5 Tb 0.7705 0.7705 0.3351  4 Br 2.87-2.95
6 Tb 0.8739 0.8739 0.9455  4 Br 2.81-3.08
7 Br 0.0532 0.0532 0.7702  3 Tb 2.81-3.03
8 Br 0.1682 0.1682 0.3443  4 Tb 2.95-3.24
9 Br 0.3896 0.3896 0.4375  3 Tb 2.87-3.01
10 Br 0.5000 0.5000 0.0000  4 Tb 3.08
11 Br 0.6104 0.6104 0.5625  3 Tb 2.87-3.01
12 Br 0.8318 0.8318 0.6557  4 Tb 2.95-3.24
13 Br 0.9468 0.9468 0.2298  3 Tb 2.81-3.03

Values from the calculation:
**Space-group type**: C2/m (12)
**Formation energy (no corrections)**: -16.56 eV/f.u.

Record 2
Here is crystalline CrCuGePt at its relaxed geometry from Alexandria via LeMat-Bulk. Energies are from PBE.

Unit cell a=4.3163 b=4.3163 c=4.3163 alpha=60.00 beta=60.00 gamma=60.00
Closest atoms and distances in Å follow each position.
Fractional coordinates of all 4 atoms:
1 Cr 0.0000 0.0000 0.0000  4 Ge 2.64, 4 Cu 2.64
2 Cu 0.2500 0.2500 0.2500  4 Cr 2.64, 4 Pt 2.64
3 Ge 0.7500 0.7500 0.7500  4 Cr 2.64, 4 Pt 2.64
4 Pt 0.5000 0.5000 0.5000  4 Ge 2.64, 4 Cu 2.64

Values from the calculation:
**Energy relative to the elements**: -0.104 eV per atom
**Space-group type**: F-43m (216)

Record 3
Here is crystalline AgRu3F at its relaxed geometry from Alexandria via LeMat-Bulk. Energies are from PBE.

Unit cell a=4.9641 b=4.9641 c=4.9641 alpha=90.00 beta=90.00 gamma=90.00
Closest atoms and distances in Å follow each position.
Fractional coordinates of all 5 atoms:
1 Ag 0.0000 0.0000 0.0000  6 Ru 2.48
2 Ru 0.0000 0.0000 0.5000  2 Ag 2.48
3 Ru 0.0000 0.5000 0.0000  2 Ag 2.48
4 Ru 0.5000 0.0000 0.0000  2 Ag 2.48
5 F 0.5000 0.5000 0.5000  12 Ru 3.51

Values from the calculation:
**Distance to the lowest polymorph of the same formula**: 1.164 eV/atom
**Space-group type**: Pm-3m (221)
**Formation energy (no corrections)**: 11.13 eV/f.u.

Record 4
Here is crystalline BaAlAs2 at its relaxed geometry from Alexandria via LeMat-Bulk. Energies are from PBE.

Unit cell a=8.9990 b=8.9990 c=8.9990 alpha=153.31 beta=137.47 gamma=50.92
Closest atoms and distances in Å follow each position.
Fractional coordinates of all 8 atoms:
1 Ba 0.1472 0.1472 0.0000  8 As 3.33-3.46
2 Ba 0.8528 0.8528 0.0000  8 As 3.33-3.46
3 Al 0.3927 0.3927 0.0000  4 As 2.50-2.56
4 Al 0.6073 0.6073 0.0000  4 As 2.50-2.56
5 As 0.2130 0.5000 0.7130  2 Al 2.56, 1 As 2.78
6 As 0.3072 0.8072 0.5000  2 Al 2.50
7 As 0.6928 0.1928 0.5000  2 Al 2.50
8 As 0.7870 0.5000 0.2870  2 Al 2.56, 1 As 2.78

Values from the calculation:
**Energy relative to the elements**: -0.732 eV per atom
**Space-group type**: Immm (71)

Record 5
Here is crystalline SiB3 at its relaxed geometry from Alexandria via LeMat-Bulk. Energies are from PBE.

Unit cell a=8.1756 b=8.1756 c=8.1756 alpha=118.41 beta=79.29 gamma=135.24
Closest atoms and distances in Å follow each position.
Fractional coordinates of all 32 atoms:
1 Si 0.1566 0.0023 0.1544  2 B 1.98-2.02
2 Si 0.1860 0.2051 0.5191  2 B 2.04
3 Si 0.1860 0.6669 0.9809  2 B 2.04
4 Si 0.3479 0.0023 0.3456  2 B 1.98-2.02
5 Si 0.6521 0.9977 0.6544  2 B 1.98-2.02
6 Si 0.8140 0.3331 0.0191  2 B 2.04
7 Si 0.8140 0.7949 0.4809  2 B 2.04
8 Si 0.8434 0.9977 0.8456  2 B 1.98-2.02
9 B 0.1098 0.3865 0.5017  5 B 1.75-1.85
10 B 0.1098 0.6080 0.7233  5 B 1.75-1.85
11 B 0.1562 0.4795 0.3264  6 B 1.73-1.93
12 B 0.1562 0.8298 0.6767  6 B 1.73-1.93
13 B 0.1592 0.7283 0.4309  5 B 1.77-1.81
14 B 0.2025 0.2717 0.9309  5 B 1.77-1.81
15 B 0.2978 0.7235 0.5743  5 B 1.75-1.81
16 B 0.3469 0.1702 0.8264  6 B 1.73-1.93
17 B 0.3469 0.5205 0.1767  6 B 1.73-1.93
18 B 0.3508 0.2765 0.0743  5 B 1.75-1.81
19 B 0.3848 0.3865 0.7767  5 B 1.75-1.85
20 B 0.3848 0.6080 0.9983  5 B 1.75-1.85
21 B 0.6152 0.3920 0.0017  5 B 1.75-1.85
22 B 0.6152 0.6135 0.2233  5 B 1.75-1.85
23 B 0.6492 0.7235 0.9257  5 B 1.75-1.81
24 B 0.6531 0.4795 0.8233  6 B 1.73-1.93
25 B 0.6531 0.8298 0.1736  6 B 1.73-1.93
26 B 0.7022 0.2765 0.4257  5 B 1.75-1.81
27 B 0.7975 0.7283 0.0691  5 B 1.77-1.81
28 B 0.8408 0.2717 0.5691  5 B 1.77-1.81
29 B 0.8438 0.1702 0.3233  6 B 1.73-1.93
30 B 0.8438 0.5205 0.6736  6 B 1.73-1.93
31 B 0.8902 0.3920 0.2767  5 B 1.75-1.85
32 B 0.8902 0.6135 0.4983  5 B 1.75-1.85

Values from the calculation:
**Distance to the lowest polymorph of the same formula**: 0.000 eV/atom
**Space-group type**: Imma (74)
**Formation energy (no corrections)**: -0.17 eV/f.u.

Record 6
Here is crystalline Ba7CdSb2O2 at its relaxed geometry from Alexandria via LeMat-Bulk. Energies are from PBE.

Unit cell a=15.6096 b=15.6096 c=15.6096 alpha=160.17 beta=160.17 gamma=28.19
Closest atoms and distances in Å follow each position.
Fractional coordinates of all 12 atoms:
1 Ba 0.0000 0.0000 0.0000  2 O 2.92
2 Ba 0.0994 0.5994 0.5000  2 O 2.69
3 Ba 0.2030 0.2030 0.0000  1 O 3.23, 1 Sb 3.51
4 Ba 0.4006 0.9006 0.5000  2 O 2.69
5 Ba 0.5994 0.0994 0.5000  2 O 2.69
6 Ba 0.7970 0.7970 0.0000  1 O 3.23, 1 Sb 3.51
7 Ba 0.9006 0.4006 0.5000  2 O 2.69
8 Cd 0.5000 0.5000 0.0000  12 Ba 3.80-4.04
9 Sb 0.3189 0.3189 0.0000  9 Ba 3.51-3.86
10 Sb 0.6811 0.6811 0.0000  9 Ba 3.51-3.86
11 O 0.0964 0.0964 0.0000  5 Ba 2.69-2.92
12 O 0.9036 0.9036 0.0000  5 Ba 2.69-2.92

Values from the calculation:
**Space-group type**: I4/mmm (139)
**Formation energy (no corrections)**: -15.68 eV/f.u.

no.,volume (Å³/cell)
1,402.5
2,56.9
3,122.3
4,220.3
5,328.1
6,437.7